Computed, not measured: an optimized crystal structure of Fe3C at the PBE level of DFT.

Summary:
* DOS(E_F): 9.1 states/eV per cell
* energy of formation: 696.1 meV/atom
* total energy: -63.7 eV for the cell shown
* magnetization: 0.15 Bohr magnetons per cell

```
data_Fe3C
_symmetry_space_group_name_H-M 'P m m n'
_symmetry_Int_Tables_number 59
_cell_length_a 3.702
_cell_length_b 4.734
_cell_length_c 4.607
_cell_angle_alpha 90.00
_cell_angle_beta 90.00
_cell_angle_gamma 90.00
loop_
_symmetry_equiv_pos_as_xyz
'x,y,z'
'-x,-y,-z'
'-x+1/2,-y+1/2,z'
'x+1/2,y+1/2,-z'
'x+1/2,-y,-z'
'-x+1/2,y,z'
'-x,y+1/2,-z'
'x,-y+1/2,z'
loop_
_atom_site_label
_atom_site_type_symbol
_atom_site_fract_x
_atom_site_fract_y
_atom_site_fract_z
Fe1 Fe 0.250 0.016 0.134
Fe2 Fe 0.250 0.250 0.613
C1 C 0.250 0.750 0.446
```